# 1
First-principles (PBE) data for an optimized crystal structure of Y3Ho4Sc2, as listed in the Alexandria database.

Its density is 6183 kg/m3. The relative energy among the computed polymorphs is 0.00 kJ/mol of atoms. The density of states at the Fermi level comes out at 50.865 states/eV per cell. The calculation puts the formation energy from the elements at 0.097 eV per atom.

Cell lengths 16.7168, 9.7865, 6.6800 Å; angles 90.00, 92.56, 90.00 degrees
Space group C2/c (No. 15)
Inequivalent atoms, fractional coordinates:
Y  0.0000  0.0119  0.2500 [4 per cell]
Y  0.1528  0.4563  0.2420 [8 per cell]
Ho  0.0162  0.3194  0.5154 [8 per cell]
Ho  0.1876  0.1241  0.4141 [8 per cell]
Sc  0.1651  0.2115  0.8963 [8 per cell]


# 2
First-principles (PBE) data for an optimized crystal structure of Ta3FeMo2, as listed in the Alexandria database.

Its density is 13555 kg/m3. The density of states at the Fermi level comes out at 4.337 states/eV per cell. The calculation puts the formation energy from the elements at -0.168 eV per atom.

Cell lengths 3.1916, 3.1916, 9.5074 Å; angles 90.00, 90.00, 90.00 degrees
Space group P4/mmm (No. 123)
Inequivalent atoms, fractional coordinates:
Ta  0.0000  0.0000  0.0000 [1 per cell]
Ta  0.0000  0.0000  0.3409 [2 per cell]
Fe  0.5000  0.5000  0.5000 [1 per cell]
Mo  0.5000  0.5000  0.1729 [2 per cell]


# 3
First-principles (PBE) data for an optimized crystal structure of SrSc3S, as listed in the Alexandria database.

Its density is 2931 kg/m3. The value obtained for the formation energy without anion corrections is 1.415 eV/atom. The relative energy among the computed polymorphs is 181.60 kJ/mol of atoms. The density of states at the Fermi level comes out at 5.167 states/eV per cell.

Cell lengths 5.2443, 5.2443, 5.2443 Å; angles 90.00, 90.00, 90.00 degrees
Space group Pm-3m (No. 221)
Inequivalent atoms, fractional coordinates:
Sr  0.0000  0.0000  0.0000 [1 per cell]
Sc  0.0000  0.0000  0.5000 [3 per cell]
S  0.5000  0.5000  0.5000 [1 per cell]


Number 2 is which compound?
Ta3FeMo2